No. 1
K2AlP2Pd: relaxed, PBE.

## Properties
DOS at the Fermi energy: 21.687 states/eV per cell
calculated volume: 23.10 Å³/atom
DFT total energy: -98.896 eV/cell
DFT formation energy: -0.462 eV per atom
crystal system: orthorhombic

CIF file:
```
data_K2AlP2Pd
_space_group_name_H-M_alt 'I b a m'
_space_group_IT_number 72
_space_group_name_Hall '-I 2 2c'
_cell_length_a 5.925
_cell_length_b 15.478
_cell_length_c 6.047
_cell_angle_alpha 90.00
_cell_angle_beta 90.00
_cell_angle_gamma 90.00
loop_
_atom_site_label
_atom_site_type_symbol
_atom_site_fract_x
_atom_site_fract_y
_atom_site_fract_z
_atom_site_occupancy
K1 K 0.229 0.173 0.000 1
Al1 Al 0.000 0.500 0.250 1
P1 P 0.231 0.414 0.000 1
Pd1 Pd 0.000 0.000 0.250 1
```

No. 2
KAlP2Pt4: relaxed, PBE.

## Properties
DOS at the Fermi energy: 2.151 states/eV per cell
calculated volume: 19.47 Å³/atom
DFT total energy: -45.185 eV/cell
DFT formation energy: -0.670 eV per atom
crystal system: tetragonal

CIF file:
```
data_KAlP2Pt4
_space_group_name_H-M_alt 'P 4/m m m'
_space_group_IT_number 123
_space_group_name_Hall '-P 4 2'
_cell_length_a 3.997
_cell_length_b 3.997
_cell_length_c 9.746
_cell_angle_alpha 90.00
_cell_angle_beta 90.00
_cell_angle_gamma 90.00
loop_
_atom_site_label
_atom_site_type_symbol
_atom_site_fract_x
_atom_site_fract_y
_atom_site_fract_z
_atom_site_occupancy
K1 K 0.000 0.000 0.000 1
Al1 Al 0.000 0.000 0.500 1
P1 P 0.500 0.500 0.201 1
Pt1 Pt 0.000 0.500 0.332 1
```

No. 3
KAlPPt2: relaxed, PBE.

## Properties
DOS at the Fermi energy: 4.147 states/eV per cell
calculated volume: 25.86 Å³/atom
DFT total energy: -11.768 eV/cell
DFT formation energy: 2.113 eV per atom
crystal system: tetragonal

CIF file:
```
data_KAlPPt2
_space_group_name_H-M_alt 'P 4/m m m'
_space_group_IT_number 123
_space_group_name_Hall '-P 4 2'
_cell_length_a 5.030
_cell_length_b 5.030
_cell_length_c 5.110
_cell_angle_alpha 90.00
_cell_angle_beta 90.00
_cell_angle_gamma 90.00
loop_
_atom_site_label
_atom_site_type_symbol
_atom_site_fract_x
_atom_site_fract_y
_atom_site_fract_z
_atom_site_occupancy
K1 K 0.000 0.000 0.000 1
Al1 Al 0.000 0.000 0.500 1
P1 P 0.500 0.500 0.500 1
Pt1 Pt 0.000 0.500 0.000 1
```

No. 4
K2RbAlP2: relaxed, PBE.

## Properties
calculated volume: 30.89 Å³/atom
DFT total energy: -81.953 eV/cell
DFT formation energy: -0.461 eV per atom
crystal system: orthorhombic

CIF file:
```
data_K2RbAlP2
_space_group_name_H-M_alt 'I b a m'
_space_group_IT_number 72
_space_group_name_Hall '-I 2 2c'
_cell_length_a 8.125
_cell_length_b 13.913
_cell_length_c 6.557
_cell_angle_alpha 90.00
_cell_angle_beta 90.00
_cell_angle_gamma 90.00
loop_
_atom_site_label
_atom_site_type_symbol
_atom_site_fract_x
_atom_site_fract_y
_atom_site_fract_z
_atom_site_occupancy
K1 K 0.185 0.186 0.000 1
Rb1 Rb 0.000 0.500 0.250 1
Al1 Al 0.000 0.000 0.250 1
P1 P 0.168 0.089 0.500 1
```

No. 5
K2RbAlP: relaxed, PBE.

## Properties
DOS at the Fermi energy: 2.156 states/eV per cell
calculated volume: 44.82 Å³/atom
DFT total energy: -11.594 eV/cell
DFT formation energy: 0.144 eV per atom
crystal system: tetragonal

CIF file:
```
data_K2RbAlP
_space_group_name_H-M_alt 'P 4/m m m'
_space_group_IT_number 123
_space_group_name_Hall '-P 4 2'
_cell_length_a 6.857
_cell_length_b 6.857
_cell_length_c 4.766
_cell_angle_alpha 90.00
_cell_angle_beta 90.00
_cell_angle_gamma 90.00
loop_
_atom_site_label
_atom_site_type_symbol
_atom_site_fract_x
_atom_site_fract_y
_atom_site_fract_z
_atom_site_occupancy
K1 K 0.000 0.500 0.000 1
Rb1 Rb 0.000 0.000 0.500 1
Al1 Al 0.500 0.500 0.000 1
P1 P 0.500 0.500 0.500 1
```

No. 6
KAlPS2: relaxed, PBE.

## Properties
DOS at the Fermi energy: 3.648 states/eV per cell
ΔE_f (raw): -0.223 eV per atom
calculated volume: 22.23 Å³/atom
energy above the most stable polymorph in this dataset: 0 meV/atom
DFT total energy: -19.622 eV/cell
crystal system: tetragonal

CIF file:
```
data_KAlPS2
_space_group_name_H-M_alt 'P 4/m m m'
_space_group_IT_number 123
_space_group_name_Hall '-P 4 2'
_cell_length_a 4.860
_cell_length_b 4.860
_cell_length_c 4.706
_cell_angle_alpha 90.00
_cell_angle_beta 90.00
_cell_angle_gamma 90.00
loop_
_atom_site_label
_atom_site_type_symbol
_atom_site_fract_x
_atom_site_fract_y
_atom_site_fract_z
_atom_site_occupancy
K1 K 0.000 0.000 0.000 1
Al1 Al 0.500 0.500 0.500 1
P1 P 0.500 0.500 0.000 1
S1 S 0.000 0.500 0.500 1
```

No. 7
K2AlPS4: relaxed, PBE.

## Properties
ΔE_f (raw): -0.799 eV per atom
calculated volume: 28.58 Å³/atom
DFT total energy: -273.975 eV/cell
crystal system: orthorhombic

CIF file:
```
data_K2AlPS4
_space_group_name_H-M_alt 'F d d d'
_space_group_IT_number 70
_cell_length_a 5.955
_cell_length_b 13.537
_cell_length_c 22.690
_cell_angle_alpha 90.00
_cell_angle_beta 90.00
_cell_angle_gamma 90.00
loop_
_space_group_symop_operation_xyz
'x,y,z'
'-x,-y,-z'
'-x+1/4,-y+1/4,z'
'x+1/4,y+1/4,-z'
'x,-y+1/4,-z+1/4'
'-x,y+1/4,z+1/4'
'-x+1/4,y,-z+1/4'
'x+1/4,-y,z+1/4'
'x,y+1/2,z+1/2'
'-x,-y+1/2,-z+1/2'
'-x+1/4,-y+3/4,z+1/2'
'x+1/4,y+3/4,-z+1/2'
'x,-y+3/4,-z+3/4'
'-x,y+3/4,z+3/4'
'-x+1/4,y+1/2,-z+3/4'
'x+1/4,-y+1/2,z+3/4'
'x+1/2,y,z+1/2'
'-x+1/2,-y,-z+1/2'
'-x+3/4,-y+1/4,z+1/2'
'x+3/4,y+1/4,-z+1/2'
'x+1/2,-y+1/4,-z+3/4'
'-x+1/2,y+1/4,z+3/4'
'-x+3/4,y,-z+3/4'
'x+3/4,-y,z+3/4'
'x+1/2,y+1/2,z'
'-x+1/2,-y+1/2,-z'
'-x+3/4,-y+3/4,z'
'x+3/4,y+3/4,-z'
'x+1/2,-y+3/4,-z+1/4'
'-x+1/2,y+3/4,z+1/4'
'-x+3/4,y+1/2,-z+1/4'
'x+3/4,-y+1/2,z+1/4'
loop_
_atom_site_label
_atom_site_type_symbol
_atom_site_fract_x
_atom_site_fract_y
_atom_site_fract_z
_atom_site_occupancy
K1 K 0.125 0.125 0.305 1
Al1 Al 0.125 0.125 0.125 1
P1 P 0.125 0.125 0.625 1
S1 S 0.109 0.279 0.428 1
```

No. 8
KAlPS2: relaxed, PBE.

## Properties
DOS at the Fermi energy: 4.635 states/eV per cell
ΔE_f (raw): 1.336 eV per atom
calculated volume: 39.21 Å³/atom
energy above the most stable polymorph in this dataset: 1560 meV/atom
DFT total energy: -11.822 eV/cell
crystal system: tetragonal

CIF file:
```
data_KAlPS2
_space_group_name_H-M_alt 'P 4/m m m'
_space_group_IT_number 123
_space_group_name_Hall '-P 4 2'
_cell_length_a 5.729
_cell_length_b 5.729
_cell_length_c 5.974
_cell_angle_alpha 90.00
_cell_angle_beta 90.00
_cell_angle_gamma 90.00
loop_
_atom_site_label
_atom_site_type_symbol
_atom_site_fract_x
_atom_site_fract_y
_atom_site_fract_z
_atom_site_occupancy
K1 K 0.000 0.000 0.000 1
Al1 Al 0.500 0.500 0.500 1
P1 P 0.000 0.000 0.500 1
S1 S 0.000 0.500 0.000 1
```

No. 9
KAlP2S8: relaxed, PBE.

## Properties
DOS at the Fermi energy: 9.920 states/eV per cell
ΔE_f (raw): -0.358 eV per atom
calculated volume: 22.93 Å³/atom
DFT total energy: -52.974 eV/cell
crystal system: trigonal

CIF file:
```
data_KAlP2S8
_space_group_name_H-M_alt 'P -3'
_space_group_IT_number 147
_space_group_name_Hall '-P 3'
_cell_length_a 5.9028
_cell_length_b 5.9028
_cell_length_c 9.1196
_cell_angle_alpha 90.00
_cell_angle_beta 90.00
_cell_angle_gamma 120.00
loop_
_atom_site_label
_atom_site_type_symbol
_atom_site_fract_x
_atom_site_fract_y
_atom_site_fract_z
_atom_site_occupancy
K1 K 0.0000 0.0000 0.0000 1
Al1 Al 0.0000 0.0000 0.5000 1
P1 P 0.3333 0.6667 0.7198 1
S1 S 0.0047 0.6721 0.3394 1
S2 S 0.3333 0.6667 0.9426 1
```

No. 10
KAlPS4: relaxed, PBE.

## Properties
DOS at the Fermi energy: 9.196 states/eV per cell
ΔE_f (raw): -0.618 eV per atom
calculated volume: 26.85 Å³/atom
DFT total energy: -62.176 eV/cell
crystal system: tetragonal

CIF file:
```
data_KAlPS4
_space_group_name_H-M_alt 'I -4'
_space_group_IT_number 82
_space_group_name_Hall 'I -4'
_cell_length_a 6.665
_cell_length_b 6.665
_cell_length_c 8.462
_cell_angle_alpha 90.00
_cell_angle_beta 90.00
_cell_angle_gamma 90.00
loop_
_atom_site_label
_atom_site_type_symbol
_atom_site_fract_x
_atom_site_fract_y
_atom_site_fract_z
_atom_site_occupancy
K1 K 0.000 0.000 0.000 1
Al1 Al 0.000 0.000 0.500 1
P1 P 0.000 0.500 0.250 1
S1 S 0.160 0.761 0.355 1
```

No. 11
KAl2PS6: relaxed, PBE.

## Properties
DOS at the Fermi energy: 0.000 states/eV per cell
ΔE_f (raw): -0.813 eV per atom
calculated volume: 26.16 Å³/atom
DFT total energy: -187.533 eV/cell
crystal system: monoclinic

CIF file:
```
data_KAl2PS6
_space_group_name_H-M_alt 'C 1 2/c 1'
_space_group_IT_number 15
_space_group_name_Hall '-C 2yc'
_cell_length_a 12.017
_cell_length_b 13.688
_cell_length_c 7.017
_cell_angle_alpha 90.00
_cell_angle_beta 114.96
_cell_angle_gamma 90.00
loop_
_atom_site_label
_atom_site_type_symbol
_atom_site_fract_x
_atom_site_fract_y
_atom_site_fract_z
_atom_site_occupancy
K1 K 0.000 0.172 0.250 1
Al1 Al 0.247 0.075 0.924 1
P1 P 0.000 0.286 0.750 1
S1 S 0.058 0.373 0.017 1
S2 S 0.143 0.212 0.726 1
S3 S 0.198 0.048 0.192 1
```